[1]
An optimized crystal structure of BeAlI3, computed with PBE.

Cell lengths 5.354, 5.354, 5.354 Å; angles 90.00, 90.00, 90.00 degrees
Space group Pm-3m (No. 221)
Asymmetric unit:
Be (0.000, 0.000, 0.000) [1 per cell]
Al (0.500, 0.500, 0.500) [1 per cell]
I (0.000, 0.000, 0.500) [3 per cell]

energy relative to the lowest polymorph listed for this composition = 0.00 eV/f.u.
E_form (uncorrected) = 51.0 meV per atom

***

[2]
An optimized crystal structure of ZrGaPb2, computed with PBE.

Cell lengths 3.3147, 3.3147, 34.1499 Å; angles 90.00, 90.00, 120.00 degrees
Space group R-3m (No. 166, hexagonal axes)
Asymmetric unit:
Zr (0.0000, 0.0000, 0.0000) [3 per cell]
Ga (0.0000, 0.0000, 0.5000) [3 per cell]
Pb (0.0000, 0.0000, 0.0886) [6 per cell]

formation energy = 0.308 eV/atom

***

[3]
An optimized crystal structure of MgAl2Te, computed with PBE.

Cell lengths 3.810, 4.920, 9.331 Å; angles 90.00, 90.00, 90.00 degrees
Space group Imm2 (No. 44)
Asymmetric unit:
Mg (0.000, 0.000, 0.000) [2 per cell]
Al (0.000, 0.000, 0.514) [2 per cell]
Al (0.000, 0.500, 0.241) [2 per cell]
Te (0.000, 0.500, 0.767) [2 per cell]

energy relative to the lowest polymorph listed for this composition = 0.67 eV/f.u.
E_form (uncorrected) = 71.9 meV per atom

***

[4]
An optimized crystal structure of Ac3Th, computed with PBE.

Cell lengths 5.485, 5.485, 10.942 Å; angles 90.00, 90.00, 90.00 degrees
Space group I4/mmm (No. 139)
Asymmetric unit:
Ac (0.000, 0.000, 0.000) [2 per cell]
Ac (0.000, 0.500, 0.250) [4 per cell]
Th (0.000, 0.000, 0.500) [2 per cell]

formation energy = 0.142 eV/atom
energy relative to the lowest polymorph listed for this composition = 0.02 eV/f.u.

***

[5]
An optimized crystal structure of TlOsRu, computed with PBE.

Cell lengths 2.879, 5.057, 14.376 Å; angles 90.00, 90.00, 90.00 degrees
Space group Fmm2 (No. 42)
Asymmetric unit:
Tl (0.000, 0.000, 0.000) [4 per cell]
Os (0.000, 0.000, 0.320) [4 per cell]
Ru (0.000, 0.000, 0.674) [4 per cell]

formation energy = 0.927 eV/atom
energy relative to the lowest polymorph listed for this composition = 1.19 eV/f.u.

***

[6]
An optimized crystal structure of Pr2Al3Zn4Pd, computed with PBE.

Cell lengths 4.285, 4.285, 10.709 Å; angles 90.00, 90.00, 90.00 degrees
Space group P-4m2 (No. 115)
Asymmetric unit:
Pr (0.000, 0.500, 0.250) [2 per cell]
Al (0.000, 0.000, 0.000) [1 per cell]
Al (0.000, 0.500, 0.633) [2 per cell]
Zn (0.000, 0.000, 0.500) [1 per cell]
Zn (0.000, 0.500, 0.865) [2 per cell]
Zn (0.500, 0.500, 0.500) [1 per cell]
Pd (0.500, 0.500, 0.000) [1 per cell]

formation energy = -0.438 eV/atom

***

[7]
An optimized crystal structure of CaAlIr2, computed with PBE.

Cell lengths 2.9509, 2.9509, 27.7802 Å; angles 90.00, 90.00, 120.00 degrees
Space group R3m (No. 160, hexagonal axes)
Asymmetric unit:
Ca (0.0000, 0.0000, 0.0000) [3 per cell]
Al (0.0000, 0.0000, 0.2330) [3 per cell]
Ir (0.0000, 0.0000, 0.4975) [3 per cell]
Ir (0.0000, 0.0000, 0.7514) [3 per cell]

formation energy = 0.145 eV/atom

***

[8]
An optimized crystal structure of SrLiCu2, computed with PBE.

Cell lengths 3.421, 3.421, 7.118 Å; angles 90.00, 90.00, 90.00 degrees
Space group P4mm (No. 99)
Asymmetric unit:
Sr (0.000, 0.000, 0.000) [1 per cell]
Li (0.500, 0.500, 0.620) [1 per cell]
Cu (0.000, 0.000, 0.425) [1 per cell]
Cu (0.500, 0.500, 0.285) [1 per cell]

formation energy = 0.145 eV/atom
energy relative to the lowest polymorph listed for this composition = 0.78 eV/f.u.